# KLiBi3 | Alexandria | GGA-PBE | optimized geometry
# * space group: Pm-3m (221)
# * energy above the lowest structure with this stoichiometry: 0.00 eV per formula unit
# * DFT formation energy: -6.66 kJ/mol of atoms
data_KLiBi3
_chemical_formula_sum 'K1 Li1 Bi3'
_cell_length_a 5.399
_cell_length_b 5.399
_cell_length_c 5.399
_cell_angle_alpha 90.00
_cell_angle_beta 90.00
_cell_angle_gamma 90.00
_symmetry_space_group_name_H-M 'P 1'
_symmetry_Int_Tables_number 1
loop_
_symmetry_equiv_pos_as_xyz
'x,y,z'
loop_
_atom_site_label
_atom_site_type_symbol
_atom_site_fract_x
_atom_site_fract_y
_atom_site_fract_z
Bi1 Bi 0.500 0.000 0.000
Bi2 Bi 0.000 0.500 0.000
Li1 Li 0.000 0.000 0.000
Bi3 Bi 0.000 0.000 0.500
K1 K 0.500 0.500 0.500